1.
{
  "formula": "LaSmY3Tm",
  "functional": "PBE",
  "state": "relaxed",
  "lattice_angstrom": [[2.902, -5.969, 0.000], [2.902, 5.969, 0.000], [0.000, 0.000, 11.519]],
  "species": ["La", "La", "Sm", "Sm", "Y", "Y", "Y", "Y", "Y", "Y", "Tm", "Tm"],
  "frac_coords": [[0.022, 0.978, 0.750], [0.978, 0.022, 0.250], [0.500, 0.500, 0.000], [0.500, 0.500, 0.500], [0.176, 0.824, 0.020], [0.176, 0.824, 0.480], [0.326, 0.674, 0.750], [0.674, 0.326, 0.250], [0.824, 0.176, 0.520], [0.824, 0.176, 0.980], [0.345, 0.655, 0.250], [0.655, 0.345, 0.750]],
  "dft_energy_ev_per_atom": -5.480,
  "spacegroup": "No. 63",
  "crystal_system": "orthorhombic",
  "formation_enthalpy_0k_ev_per_fu": 0.63,
  "dos_ef_per_ev_atom": 1.87
}

2.
{
  "formula": "LaSmY6Tm2",
  "functional": "PBE",
  "state": "relaxed",
  "lattice_angstrom": [[4.664, -7.504, 0.000], [4.664, 7.504, 0.000], [-0.867, 0.000, 9.422]],
  "species": ["La", "La", "Sm", "Sm", "Y", "Y", "Y", "Y", "Y", "Y", "Y", "Y", "Y", "Y", "Y", "Y", "Tm", "Tm", "Tm", "Tm"],
  "frac_coords": [[0.037, 0.963, 0.750], [0.963, 0.037, 0.250], [0.412, 0.588, 0.250], [0.588, 0.412, 0.750], [0.009, 0.554, 0.679], [0.114, 0.759, 0.058], [0.241, 0.886, 0.442], [0.294, 0.522, 0.889], [0.446, 0.991, 0.821], [0.478, 0.706, 0.611], [0.522, 0.294, 0.389], [0.554, 0.009, 0.179], [0.706, 0.478, 0.111], [0.759, 0.114, 0.558], [0.886, 0.241, 0.942], [0.991, 0.446, 0.321], [0.199, 0.302, 0.555], [0.302, 0.199, 0.055], [0.698, 0.801, 0.945], [0.801, 0.698, 0.445]],
  "dft_energy_ev_per_atom": -5.617,
  "spacegroup": "No. 15",
  "crystal_system": "monoclinic",
  "formation_enthalpy_0k_ev_per_fu": 1.20,
  "dos_ef_per_ev_atom": 1.56
}

3.
{
  "formula": "LaSmY2Tm",
  "functional": "PBE",
  "state": "relaxed",
  "lattice_angstrom": [[3.628, 0.000, 0.000], [0.000, 5.600, 0.000], [0.000, 0.000, 8.669]],
  "species": ["La", "Sm", "Y", "Y", "Tm"],
  "frac_coords": [[0.000, 0.000, 0.000], [0.500, 0.000, 0.500], [0.000, 0.500, 0.317], [0.000, 0.500, 0.683], [0.500, 0.500, 0.000]],
  "dft_energy_ev_per_atom": -5.169,
  "spacegroup": "No. 47",
  "crystal_system": "orthorhombic",
  "formation_enthalpy_0k_ev_per_fu": 1.20,
  "dos_ef_per_ev_atom": 1.46
}

4.
{
  "formula": "LaSm2Y5Tm",
  "functional": "PBE",
  "state": "relaxed",
  "lattice_angstrom": [[-4.316, 4.316, 7.901], [4.316, -4.316, 7.901], [4.316, 4.316, -7.901]],
  "species": ["La", "La", "Sm", "Sm", "Sm", "Sm", "Y", "Y", "Y", "Y", "Y", "Y", "Y", "Y", "Y", "Y", "Tm", "Tm"],
  "frac_coords": [[0.250, 0.750, 0.500], [0.750, 0.250, 0.500], [0.119, 0.619, 0.738], [0.381, 0.119, 0.500], [0.619, 0.881, 0.500], [0.881, 0.381, 0.262], [0.000, 0.000, 0.000], [0.067, 0.157, 0.500], [0.157, 0.657, 0.090], [0.343, 0.433, 0.500], [0.433, 0.933, 0.090], [0.500, 0.500, 0.000], [0.567, 0.067, 0.910], [0.657, 0.567, 0.500], [0.843, 0.343, 0.910], [0.933, 0.843, 0.500], [0.250, 0.250, 0.000], [0.750, 0.750, 0.000]],
  "dft_energy_ev_per_atom": -5.438,
  "spacegroup": "No. 140",
  "crystal_system": "tetragonal",
  "formation_enthalpy_0k_ev_per_fu": 2.21,
  "dos_ef_per_ev_atom": 1.16
}

What did the fourth record say?
{
  "formula": "LaSm2Y5Tm",
  "functional": "PBE",
  "state": "relaxed",
  "lattice_angstrom": [[-4.316, 4.316, 7.901], [4.316, -4.316, 7.901], [4.316, 4.316, -7.901]],
  "species": ["La", "La", "Sm", "Sm", "Sm", "Sm", "Y", "Y", "Y", "Y", "Y", "Y", "Y", "Y", "Y", "Y", "Tm", "Tm"],
  "frac_coords": [[0.250, 0.750, 0.500], [0.750, 0.250, 0.500], [0.119, 0.619, 0.738], [0.381, 0.119, 0.500], [0.619, 0.881, 0.500], [0.881, 0.381, 0.262], [0.000, 0.000, 0.000], [0.067, 0.157, 0.500], [0.157, 0.657, 0.090], [0.343, 0.433, 0.500], [0.433, 0.933, 0.090], [0.500, 0.500, 0.000], [0.567, 0.067, 0.910], [0.657, 0.567, 0.500], [0.843, 0.343, 0.910], [0.933, 0.843, 0.500], [0.250, 0.250, 0.000], [0.750, 0.750, 0.000]],
  "dft_energy_ev_per_atom": -5.438,
  "spacegroup": "No. 140",
  "crystal_system": "tetragonal",
  "formation_enthalpy_0k_ev_per_fu": 2.21,
  "dos_ef_per_ev_atom": 1.16
}

What is the formula in the third record? LaSmY2Tm